w:
Density functional theory data (PBE-GGA) for crystalline VFeRh3 at its relaxed geometry.

```
VFeRh3
1.0
4.4325 0.0000 0.0000
0.0000 4.4325 0.0000
0.0000 0.0000 4.4325
V Fe Rh
1 1 3
direct
0.0000 0.0000 0.0000
0.5000 0.5000 0.5000
0.0000 0.5000 0.5000
0.5000 0.0000 0.5000
0.5000 0.5000 0.0000
```

Values from the calculation:
The calculation puts the calculated volume at 17.417 A^3/atom. The symmetry is Pm-3m. Its density of states at the Fermi level is 2.039 states/eV/atom.

***

x:
Density functional theory data (PBE-GGA) for crystalline VFeRh3 at its relaxed geometry.

```
VFeRh3
1.0
2.2676 -6.8812 0.0000
2.2676 6.8812 0.0000
-1.2941 0.0000 4.3496
V Fe Rh
2 2 6
direct
0.1499 0.8501 0.7500
0.8501 0.1499 0.2500
0.3525 0.6475 0.7500
0.6475 0.3525 0.2500
0.0572 0.9428 0.2500
0.2522 0.7478 0.2500
0.4473 0.5527 0.2500
0.5527 0.4473 0.7500
0.7478 0.2522 0.7500
0.9428 0.0572 0.7500
```

Values from the calculation:
The calculation puts the calculated volume at 13.574 A^3/atom. The symmetry is C2/c. Its density of states at the Fermi level is 1.198 states/eV/atom.

***

Stability check: which of them is most stable? x.

***

w:
Density functional theory data (PBE-GGA) for crystalline VFeRh3 at its relaxed geometry.

```
VFeRh3
1.0
4.4466 0.0000 0.0000
0.0000 4.4466 0.0000
0.0000 0.0000 4.4466
V Fe Rh
1 1 3
direct
0.0000 0.0000 0.0000
0.5000 0.5000 0.5000
0.0000 0.0000 0.5000
0.0000 0.5000 0.0000
0.5000 0.0000 0.0000
```

Values from the calculation:
The calculation puts the calculated volume at 17.583 A^3/atom. The symmetry is Pm-3m. Its density of states at the Fermi level is 1.286 states/eV/atom.

***

x:
Density functional theory data (PBE-GGA) for crystalline VFeRh3 at its relaxed geometry.

```
VFeRh3
1.0
3.1734 -5.4896 0.0000
3.1734 5.4896 0.0000
0.0000 0.0000 4.3130
V Fe Rh
2 2 6
direct
0.1664 0.8336 0.7500
0.8336 0.1664 0.2500
0.5000 0.5000 0.0000
0.5000 0.5000 0.5000
0.1063 0.3029 0.7500
0.3029 0.1063 0.2500
0.3030 0.6970 0.2500
0.6970 0.3030 0.7500
0.6971 0.8937 0.7500
0.8937 0.6971 0.2500
```

Values from the calculation:
The calculation puts the calculated volume at 15.027 A^3/atom. The symmetry is Cmcm. Its density of states at the Fermi level is 1.078 states/eV/atom.

***

Stability check: which of them is most stable? x.

***

w:
Density functional theory data (PBE-GGA) for crystalline VFe2Rh at its relaxed geometry.

```
VFe2Rh
1.0
-1.7491 1.7491 9.0037
1.7491 -1.7491 9.0037
1.7491 1.7491 -9.0037
V Fe Rh
2 4 2
direct
0.0000 0.0000 0.0000
0.7500 0.2500 0.5000
0.1186 0.6250 0.9936
0.3750 0.3686 0.4936
0.6314 0.1250 0.0064
0.8750 0.8814 0.5064
0.2500 0.7500 0.5000
0.5000 0.5000 0.0000
```

Values from the calculation:
The calculation puts the calculated volume at 13.772 A^3/atom. The symmetry is I-42d. Its density of states at the Fermi level is 1.191 states/eV/atom.

***

x:
Density functional theory data (PBE-GGA) for crystalline VFe2Rh at its relaxed geometry.

```
VFe2Rh
1.0
0.0000 2.9547 2.9547
2.9547 0.0000 2.9547
2.9547 2.9547 0.0000
V Fe Rh
1 2 1
direct
0.0000 0.0000 0.0000
0.2500 0.2500 0.2500
0.7500 0.7500 0.7500
0.5000 0.5000 0.5000
```

Values from the calculation:
The calculation puts the calculated volume at 12.897 A^3/atom. The symmetry is Fm-3m. Its density of states at the Fermi level is 1.187 states/eV/atom.

***

y:
Density functional theory data (PBE-GGA) for crystalline VFe2Rh at its relaxed geometry.

```
VFe2Rh
1.0
3.6806 0.0000 0.0000
0.0000 3.6806 0.0000
0.0000 0.0000 3.7369
V Fe Rh
1 2 1
direct
0.0000 0.0000 0.0000
0.0000 0.5000 0.5000
0.5000 0.0000 0.5000
0.5000 0.5000 0.0000
```

Values from the calculation:
The calculation puts the calculated volume at 12.656 A^3/atom. The symmetry is P4/mmm. Its density of states at the Fermi level is 1.027 states/eV/atom.

***

Stability check: which of them is most stable? y.

***

w:
Density functional theory data (PBE-GGA) for crystalline V2Fe2Rh at its relaxed geometry.

```
V2Fe2Rh
1.0
6.6268 0.0000 0.0000
0.0000 6.6268 0.0000
0.0000 0.0000 2.8134
V Fe Rh
4 4 2
direct
0.1698 0.3302 0.0000
0.3302 0.8302 0.0000
0.6698 0.1698 0.0000
0.8302 0.6698 0.0000
0.1282 0.6282 0.5000
0.3718 0.1282 0.5000
0.6282 0.8718 0.5000
0.8718 0.3718 0.5000
0.0000 0.0000 0.5000
0.5000 0.5000 0.5000
```

Values from the calculation:
The calculation puts the calculated volume at 12.355 A^3/atom. The symmetry is P4/mbm. Its density of states at the Fermi level is 1.562 states/eV/atom.

***

x:
Density functional theory data (PBE-GGA) for crystalline V2Fe2Rh at its relaxed geometry.

```
V2Fe2Rh
1.0
6.7634 0.0000 0.0000
0.0000 6.7634 0.0000
0.0000 0.0000 2.7359
V Fe Rh
4 4 2
direct
0.1528 0.3472 0.0000
0.3472 0.8472 0.0000
0.6528 0.1528 0.0000
0.8472 0.6528 0.0000
0.1448 0.6448 0.5000
0.3552 0.1448 0.5000
0.6448 0.8552 0.5000
0.8552 0.3552 0.5000
0.0000 0.0000 0.0000
0.5000 0.5000 0.0000
```

Values from the calculation:
The calculation puts the calculated volume at 12.515 A^3/atom. The symmetry is P4/mbm. Its density of states at the Fermi level is 1.072 states/eV/atom.

***

Stability check: which of them is most stable? w.

***

w:
Density functional theory data (PBE-GGA) for crystalline V4FeRh at its relaxed geometry.

```
V4FeRh
1.0
1.9752 1.1404 6.7407
-1.9752 1.1404 6.7407
0.0000 -2.2807 6.7407
V Fe Rh
4 1 1
direct
0.1137 0.1137 0.1137
0.3708 0.3708 0.3708
0.6292 0.6292 0.6292
0.8863 0.8863 0.8863
0.0000 0.0000 0.0000
0.5000 0.5000 0.5000
```

Values from the calculation:
The calculation puts the calculated volume at 15.181 A^3/atom. The symmetry is R-3m. Its density of states at the Fermi level is 1.083 states/eV/atom.

***

x:
Density functional theory data (PBE-GGA) for crystalline V4FeRh at its relaxed geometry.

```
V4FeRh
1.0
2.9529 0.0000 0.0000
0.0000 2.9529 0.0000
0.0000 0.0000 8.9542
V Fe Rh
4 1 1
direct
0.0000 0.0000 0.1589
0.0000 0.0000 0.8411
0.5000 0.5000 0.3203
0.5000 0.5000 0.6797
0.5000 0.5000 0.0000
0.0000 0.0000 0.5000
```

Values from the calculation:
The calculation puts the calculated volume at 13.013 A^3/atom. The symmetry is P4/mmm. Its density of states at the Fermi level is 1.123 states/eV/atom.

***

Stability check: which of them is most stable? x.

***

w:
Density functional theory data (PBE-GGA) for crystalline Fe2RhW2 at its relaxed geometry.

```
Fe2RhW2
1.0
-1.5252 1.5252 7.6942
1.5252 -1.5252 7.6942
1.5252 1.5252 -7.6942
Fe Rh W
2 1 2
direct
0.2500 0.7500 0.5000
0.7500 0.2500 0.5000
0.0000 0.0000 0.0000
0.3849 0.3849 0.0000
0.6151 0.6151 0.0000
```

Values from the calculation:
The calculation puts the calculated volume at 14.318 A^3/atom. The symmetry is I4/mmm. Its density of states at the Fermi level is 1.110 states/eV/atom.

***

x:
Density functional theory data (PBE-GGA) for crystalline Fe2RhW2 at its relaxed geometry.

```
Fe2RhW2
1.0
6.8771 0.0000 0.0000
0.0000 6.8771 0.0000
0.0000 0.0000 2.8649
Fe Rh W
4 2 4
direct
0.1304 0.3696 0.0000
0.3696 0.8696 0.0000
0.6304 0.1304 0.0000
0.8696 0.6304 0.0000
0.0000 0.0000 0.0000
0.5000 0.5000 0.0000
0.1696 0.6696 0.5000
0.3304 0.1696 0.5000
0.6696 0.8304 0.5000
0.8304 0.3304 0.5000
```

Values from the calculation:
The calculation puts the calculated volume at 13.549 A^3/atom. The symmetry is P4/mbm. Its density of states at the Fermi level is 0.670 states/eV/atom.

***

Stability check: which of them is most stable? x.

***

w:
Density functional theory data (PBE-GGA) for crystalline FeRh3W at its relaxed geometry.

```
FeRh3W
1.0
4.6737 0.0000 0.0000
0.0000 4.6737 0.0000
0.0000 0.0000 4.6737
Fe Rh W
1 3 1
direct
0.0000 0.0000 0.0000
0.0000 0.5000 0.5000
0.5000 0.0000 0.5000
0.5000 0.5000 0.0000
0.5000 0.5000 0.5000
```

Values from the calculation:
The calculation puts the calculated volume at 20.418 A^3/atom. The symmetry is Pm-3m. Its density of states at the Fermi level is 1.603 states/eV/atom.

***

x:
Density functional theory data (PBE-GGA) for crystalline FeRh3W at its relaxed geometry.

```
FeRh3W
1.0
4.3871 0.0000 0.0000
0.0000 4.3871 0.0000
0.0000 0.0000 4.3871
Fe Rh W
1 3 1
direct
0.0000 0.0000 0.0000
0.0000 0.0000 0.5000
0.0000 0.5000 0.0000
0.5000 0.0000 0.0000
0.5000 0.5000 0.5000
```

Values from the calculation:
The calculation puts the calculated volume at 16.887 A^3/atom. The symmetry is Pm-3m. Its density of states at the Fermi level is 1.856 states/eV/atom.

***

Stability check: which of them is most stable? w.

***

w:
Density functional theory data (PBE-GGA) for crystalline ZnFeRh3 at its relaxed geometry.

```
ZnFeRh3
1.0
4.4269 0.0000 0.0000
0.0000 4.4269 0.0000
0.0000 0.0000 4.4269
Zn Fe Rh
1 1 3
direct
0.0000 0.0000 0.0000
0.5000 0.5000 0.5000
0.0000 0.5000 0.5000
0.5000 0.0000 0.5000
0.5000 0.5000 0.0000
```

Values from the calculation:
The calculation puts the calculated volume at 17.351 A^3/atom. The symmetry is Pm-3m. Its density of states at the Fermi level is 1.690 states/eV/atom.

***

x:
Density functional theory data (PBE-GGA) for crystalline ZnFeRh3 at its relaxed geometry.

```
ZnFeRh3
1.0
4.4717 0.0000 0.0000
0.0000 4.4717 0.0000
0.0000 0.0000 4.4717
Zn Fe Rh
1 1 3
direct
0.0000 0.0000 0.0000
0.5000 0.5000 0.5000
0.0000 0.0000 0.5000
0.0000 0.5000 0.0000
0.5000 0.0000 0.0000
```

Values from the calculation:
The calculation puts the calculated volume at 17.883 A^3/atom. The symmetry is Pm-3m. Its density of states at the Fermi level is 2.345 states/eV/atom.

***

Stability check: which of them is most stable? w.

***

w:
Density functional theory data (PBE-GGA) for crystalline ZnFeRh4 at its relaxed geometry.

```
ZnFeRh4
1.0
2.7342 0.0000 0.0000
0.0000 2.7342 0.0000
0.0000 0.0000 11.0622
Zn Fe Rh
1 1 4
direct
0.0000 0.0000 0.0000
0.5000 0.5000 0.5000
0.0000 0.0000 0.3395
0.0000 0.0000 0.6605
0.5000 0.5000 0.1676
0.5000 0.5000 0.8324
```

Values from the calculation:
The calculation puts the calculated volume at 13.783 A^3/atom. The symmetry is P4/mmm. Its density of states at the Fermi level is 1.428 states/eV/atom.

***

x:
Density functional theory data (PBE-GGA) for crystalline ZnFeRh4 at its relaxed geometry.

```
ZnFeRh4
1.0
0.0000 3.5926 3.5926
3.5926 0.0000 3.5926
3.5926 3.5926 0.0000
Zn Fe Rh
1 1 4
direct
0.0000 0.0000 0.0000
0.2500 0.2500 0.2500
0.1249 0.6250 0.6250
0.6250 0.1249 0.6250
0.6250 0.6250 0.1249
0.6250 0.6250 0.6250
```

Values from the calculation:
The calculation puts the calculated volume at 15.456 A^3/atom. The symmetry is F-43m. Its density of states at the Fermi level is 1.381 states/eV/atom.

***

y:
Density functional theory data (PBE-GGA) for crystalline ZnFeRh4 at its relaxed geometry.

```
ZnFeRh4
1.0
3.4734 -2.0049 0.0000
3.4734 2.0049 0.0000
-2.3062 0.0000 6.7501
Zn Fe Rh
1 1 4
direct
0.0000 0.0000 0.0000
0.5000 0.5000 0.5000
0.1255 0.1255 0.3759
0.3808 0.3808 0.1429
0.6192 0.6192 0.8571
0.8745 0.8745 0.6241
```

Values from the calculation:
The calculation puts the calculated volume at 15.669 A^3/atom. The symmetry is C2/m. Its density of states at the Fermi level is 1.485 states/eV/atom.

***

Stability check: which of them is most stable? w.

***

w:
Density functional theory data (PBE-GGA) for crystalline Zn2FeRh2 at its relaxed geometry.

```
Zn2FeRh2
1.0
6.8247 0.0000 0.0000
0.0000 6.8247 0.0000
0.0000 0.0000 3.1538
Zn Fe Rh
4 2 4
direct
0.1554 0.3446 0.0000
0.3446 0.8446 0.0000
0.6554 0.1554 0.0000
0.8446 0.6554 0.0000
0.0000 0.0000 0.5000
0.5000 0.5000 0.5000
0.1442 0.6442 0.5000
0.3558 0.1442 0.5000
0.6442 0.8558 0.5000
0.8558 0.3558 0.5000
```

Values from the calculation:
The calculation puts the calculated volume at 14.689 A^3/atom. The symmetry is P4/mbm. Its density of states at the Fermi level is 0.514 states/eV/atom.

***

x:
Density functional theory data (PBE-GGA) for crystalline Zn2FeRh2 at its relaxed geometry.

```
Zn2FeRh2
1.0
-1.6582 1.6582 6.7729
1.6582 -1.6582 6.7729
1.6582 1.6582 -6.7729
Zn Fe Rh
2 1 2
direct
0.2500 0.7500 0.5000
0.7500 0.2500 0.5000
0.0000 0.0000 0.0000
0.4015 0.4015 0.0000
0.5985 0.5985 0.0000
```

Values from the calculation:
The calculation puts the calculated volume at 14.899 A^3/atom. The symmetry is I4/mmm. Its density of states at the Fermi level is 0.375 states/eV/atom.

***

y:
Density functional theory data (PBE-GGA) for crystalline Zn2FeRh2 at its relaxed geometry.

```
Zn2FeRh2
1.0
6.9205 0.0000 0.0000
0.0000 6.9205 0.0000
0.0000 0.0000 2.9838
Zn Fe Rh
4 2 4
direct
0.1296 0.3704 0.0000
0.3704 0.8704 0.0000
0.6296 0.1296 0.0000
0.8704 0.6296 0.0000
0.0000 0.0000 0.0000
0.5000 0.5000 0.0000
0.1697 0.6697 0.5000
0.3303 0.1697 0.5000
0.6697 0.8303 0.5000
0.8303 0.3303 0.5000
```

Values from the calculation:
The calculation puts the calculated volume at 14.290 A^3/atom. The symmetry is P4/mbm. Its density of states at the Fermi level is 0.809 states/eV/atom.

***

Stability check: which of them is most stable? w.

***

w:
Density functional theory data (PBE-GGA) for crystalline Zr3FeRh at its relaxed geometry.

```
Zr3FeRh
1.0
4.7319 0.0000 0.0000
0.0000 4.7319 0.0000
0.0000 0.0000 4.7319
Zr Fe Rh
3 1 1
direct
0.0000 0.0000 0.5000
0.0000 0.5000 0.0000
0.5000 0.0000 0.0000
0.0000 0.0000 0.0000
0.5000 0.5000 0.5000
```

Values from the calculation:
The calculation puts the calculated volume at 21.190 A^3/atom. The symmetry is Pm-3m. Its density of states at the Fermi level is 1.533 states/eV/atom.

***

x:
Density functional theory data (PBE-GGA) for crystalline Zr3FeRh at its relaxed geometry.

```
Zr3FeRh
1.0
9.5713 -1.7101 0.0000
9.5713 1.7101 0.0000
-1.0300 0.0000 5.8521
Zr Fe Rh
6 2 2
direct
0.0028 0.0028 0.2633
0.1880 0.1880 0.0966
0.3650 0.3650 0.4204
0.6350 0.6350 0.5796
0.8120 0.8120 0.9034
0.9972 0.9972 0.7367
0.2333 0.2333 0.6218
0.7667 0.7667 0.3782
0.4207 0.4207 0.9600
0.5793 0.5793 0.0400
```

Values from the calculation:
The calculation puts the calculated volume at 19.157 A^3/atom. The symmetry is C2/m. Its density of states at the Fermi level is 0.888 states/eV/atom.

***

Stability check: which of them is most stable? x.